1.
VASP calculation (PBE) on an optimized crystal structure of ZrCrCu.

Cell lengths 2.769, 2.769, 12.012 Å; angles 90.00, 90.00, 90.00 degrees
Space group I4mm (No. 107)
Symmetry-distinct sites (fractional):
Zr (0.000, 0.000, 0.000) [2 per cell]
Cr (0.000, 0.000, 0.318) [2 per cell]
Cu (0.000, 0.000, 0.681) [2 per cell]

Computed properties:
energy of formation from the pure elements: 0.3370 eV per atom
E_tot: -42.5 eV for the cell shown



2.
VASP calculation (PBE) on an optimized crystal structure of NbHOF2.

Cell lengths 3.124, 3.124, 4.430 Å; angles 90.00, 90.00, 90.00 degrees
Space group P4/mmm (No. 123)
Symmetry-distinct sites (fractional):
Nb (0.000, 0.000, 0.000) [1 per cell]
H (0.500, 0.500, 0.500) [1 per cell]
O (0.500, 0.500, 0.000) [1 per cell]
F (0.000, 0.500, 0.500) [2 per cell]

Computed properties:
E_tot: -27.6 eV for the cell shown



3.
VASP calculation (PBE) on an optimized crystal structure of CrNi2Pt.

Cell lengths 2.636, 3.571, 5.267 Å; angles 90.00, 90.00, 90.00 degrees
Space group Pmmm (No. 47)
Symmetry-distinct sites (fractional):
Cr (0.000, 0.000, 0.000) [1 per cell]
Ni (0.500, 0.500, 0.232) [2 per cell]
Pt (0.000, 0.000, 0.500) [1 per cell]

Computed properties:
energy of formation from the pure elements: -0.0472 eV per atom
E_tot: -27.4 eV for the cell shown



4.
VASP calculation (PBE) on an optimized crystal structure of Cs2ZnPdO4.

Cell lengths 5.873, 12.585, 20.759 Å; angles 90.00, 90.00, 90.00 degrees
Space group Fddd (No. 70, origin choice 2)
Symmetry-distinct sites (fractional):
Cs (0.125, 0.125, 0.302) [16 per cell]
Zn (0.125, 0.125, 0.125) [8 per cell]
Pd (0.125, 0.125, 0.625) [8 per cell]
O (0.124, 0.292, 0.836) [32 per cell]

Computed properties:
E_tot: -279.1 eV for the cell shown



5.
VASP calculation (PBE) on an optimized crystal structure of Ac6As2AuSe3.

Cell lengths 7.851, 13.575, 7.813 Å; angles 90.00, 109.75, 90.00 degrees
Space group C2/m (No. 12)
Symmetry-distinct sites (fractional):
Ac (0.243, 0.000, 0.247) [4 per cell]
Ac (0.250, 0.169, 0.756) [8 per cell]
As (0.000, 0.166, 0.000) [4 per cell]
Au (0.000, 0.500, 0.000) [2 per cell]
Se (0.000, 0.000, 0.500) [2 per cell]
Se (0.000, 0.331, 0.500) [4 per cell]

Computed properties:
E_tot: -132.8 eV for the cell shown



6.
VASP calculation (PBE) on an optimized crystal structure of Dy8TlIn5.

Cell lengths 9.311, 9.311, 9.328 Å; angles 90.00, 90.00, 90.00 degrees
Space group I-4 (No. 82)
Symmetry-distinct sites (fractional):
Dy (0.075, 0.175, 0.200) [8 per cell]
Dy (0.075, 0.324, 0.551) [8 per cell]
Tl (0.000, 0.500, 0.250) [2 per cell]
In (0.000, 0.000, 0.500) [2 per cell]
In (0.125, 0.250, 0.875) [8 per cell]

Computed properties:
energy of formation from the pure elements: -0.3020 eV per atom
E_tot: -114.2 eV for the cell shown



7.
VASP calculation (PBE) on an optimized crystal structure of La2ZrCoCl.

Cell lengths 5.388, 5.388, 4.722 Å; angles 90.00, 90.00, 90.00 degrees
Space group P4/mmm (No. 123)
Symmetry-distinct sites (fractional):
La (0.000, 0.500, 0.000) [2 per cell]
Zr (0.000, 0.000, 0.500) [1 per cell]
Co (0.500, 0.500, 0.500) [1 per cell]
Cl (0.000, 0.000, 0.000) [1 per cell]

Computed properties:
E_tot: -26.6 eV for the cell shown



8.
VASP calculation (PBE) on an optimized crystal structure of ZnPH2.

Cell lengths 2.9167, 2.9167, 18.7720 Å; angles 90.00, 90.00, 120.00 degrees
Space group R-3m (No. 166, hexagonal axes)
Symmetry-distinct sites (fractional):
Zn (0.0000, 0.0000, 0.0000) [3 per cell]
P (0.0000, 0.0000, 0.5000) [3 per cell]
H (0.0000, 0.0000, 0.1297) [6 per cell]

Computed properties:
E_tot: -32.4 eV for the cell shown



9.
VASP calculation (PBE) on an optimized crystal structure of K3VS.

Cell lengths 6.015, 6.015, 6.015 Å; angles 90.00, 90.00, 90.00 degrees
Space group Pm-3m (No. 221)
Symmetry-distinct sites (fractional):
K (0.000, 0.000, 0.500) [3 per cell]
V (0.000, 0.000, 0.000) [1 per cell]
S (0.500, 0.500, 0.500) [1 per cell]

Computed properties:
E_tot: -12.6 eV for the cell shown



10.
VASP calculation (PBE) on an optimized crystal structure of Mo2AsI.

Cell lengths 6.498, 6.498, 6.498 Å; angles 90.00, 90.00, 90.00 degrees
Space group Fm-3m (No. 225)
Symmetry-distinct sites (fractional):
Mo (0.250, 0.250, 0.250) [8 per cell]
As (0.000, 0.000, 0.000) [4 per cell]
I (0.000, 0.000, 0.500) [4 per cell]

Computed properties:
E_tot: -102.3 eV for the cell shown



11.
VASP calculation (PBE) on an optimized crystal structure of TbNd5Tm3.

Cell lengths 9.270, 9.270, 14.330 Å; angles 90.00, 90.00, 90.00 degrees
Space group I4/mcm (No. 140)
Symmetry-distinct sites (fractional):
Tb (0.000, 0.500, 0.250) [4 per cell]
Nd (0.000, 0.000, 0.000) [4 per cell]
Nd (0.201, 0.299, 0.132) [16 per cell]
Tm (0.000, 0.000, 0.250) [4 per cell]
Tm (0.110, 0.390, 0.500) [8 per cell]

Computed properties:
energy of formation from the pure elements: 0.3132 eV per atom
E_tot: -156.3 eV for the cell shown



12.
VASP calculation (PBE) on an optimized crystal structure of Sm2InHg4Pb2.

Cell lengths 6.905, 6.905, 10.905 Å; angles 90.00, 90.00, 90.00 degrees
Space group I4/mmm (No. 139)
Symmetry-distinct sites (fractional):
Sm (0.000, 0.000, 0.218) [4 per cell]
In (0.000, 0.000, 0.500) [2 per cell]
Hg (0.219, 0.219, 0.000) [8 per cell]
Pb (0.000, 0.500, 0.250) [4 per cell]

Computed properties:
energy of formation from the pure elements: -0.1343 eV per atom
E_tot: -44.0 eV for the cell shown